Density functional theory data (PBE) for SiBAu after structural relaxation.

Results
The calculation puts the final energy at -29.9 eV per cell. As for the density of states at the Fermi level: 0.109 states/eV/f.u. The size of the total moment comes out at 0.0000 μB per atom. The value obtained for the formation energy without anion corrections is 0.4 eV per formula unit.

Structure (POSCAR):
```
SiBAu
1.0
5.8317 -0.0102 -0.0080
-0.4066 3.5448 0.0065
-2.3851 -1.3051 4.3058
Si B Au
2 2 2
direct
0.7840 0.1017 0.1644
0.7316 0.0084 0.6562
0.8970 0.7096 0.4198
0.6186 0.4006 0.4007
0.2578 0.5551 0.4102
0.2578 0.0551 0.9102
```